VASP calculation (PBE-GGA) on an optimized crystal structure of Ce2NdSi2Ni2.

POSCAR file:
```
Ce2NdSi2Ni2
1.0
2.072 1.196 9.150
-2.072 1.196 9.150
0.000 -2.392 9.150
Ce Nd Si Ni
2 1 2 2
Cartesian
0.000 0.000 3.774
0.000 0.000 23.675
0.000 0.000 0.000
0.000 0.000 7.128
0.000 0.000 20.322
0.000 0.000 11.238
0.000 0.000 16.211
```

Computed properties:
Its raw formation energy is -0.6501 eV per atom.



VASP calculation (PBE-GGA) on an optimized crystal structure of CeNdSi2Ni2.

POSCAR file:
```
CeNdSi2Ni2
1.0
4.065 0.000 0.000
-2.032 3.520 0.000
0.000 0.000 8.081
Ce Nd Si Ni
1 1 2 2
Cartesian
0.000 0.000 0.000
0.000 0.000 4.041
0.000 2.347 1.969
2.032 1.173 6.112
0.000 2.347 6.134
2.032 1.173 1.947
```

Computed properties:
Its raw formation energy is -0.7278 eV per atom.



VASP calculation (PBE-GGA) on an optimized crystal structure of CeNdNpO6.

POSCAR file:
```
CeNdNpO6
1.0
5.923 0.000 0.000
-2.962 5.130 0.000
0.000 0.000 9.423
Ce Nd Np O
2 2 2 12
Cartesian
0.000 0.000 0.000
0.000 0.000 4.712
0.000 3.420 2.356
2.962 1.710 7.068
0.000 3.420 7.068
2.962 1.710 2.356
-0.856 1.840 5.953
-1.796 3.469 8.182
0.856 1.840 8.182
-0.940 4.951 5.953
2.021 0.179 1.241
1.166 1.661 3.471
1.796 3.469 5.953
0.940 4.951 8.182
3.902 0.179 3.471
2.106 3.290 1.241
4.758 1.661 1.241
3.817 3.290 3.471
```

Computed properties:
Its raw formation energy is -3.1206 eV per atom.



VASP calculation (PBE-GGA) on an optimized crystal structure of Ce2NdNpP4.

POSCAR file:
```
Ce2NdNpP4
1.0
-2.886 2.886 5.774
2.886 -2.886 5.774
2.886 2.886 -5.774
Ce Nd Np P
2 1 1 4
Cartesian
0.000 0.000 0.000
0.000 2.886 2.887
0.000 0.000 5.774
2.886 0.000 2.887
2.886 0.000 0.049
0.000 0.000 2.851
2.886 0.000 5.725
0.000 0.000 8.698
```

Computed properties:
As for the formation energy: -1.334 eV/atom.



VASP calculation (PBE-GGA) on an optimized crystal structure of CeNd2NpP4.

POSCAR file:
```
CeNd2NpP4
1.0
7.080 0.000 0.000
0.000 4.085 0.000
-2.363 0.000 6.706
Ce Nd Np P
1 2 1 4
Cartesian
0.000 0.000 0.000
-1.182 2.043 3.353
2.358 0.000 3.353
3.540 2.043 0.000
1.209 2.043 1.602
0.032 0.000 5.124
4.685 0.000 1.583
3.508 2.043 5.104
```

Computed properties:
As for the formation energy: -1.355 eV/atom.



VASP calculation (PBE-GGA) on an optimized crystal structure of CeNd2Np2Ru5.

POSCAR file:
```
CeNd2Np2Ru5
1.0
10.435 0.000 0.000
0.000 10.435 0.000
0.000 0.000 3.807
Ce Nd Np Ru
2 4 4 10
Cartesian
0.000 0.000 0.000
5.217 5.217 0.000
1.816 3.402 0.000
3.402 8.619 0.000
7.033 1.816 0.000
8.619 7.033 0.000
1.362 6.580 0.000
3.855 1.362 0.000
6.580 9.072 0.000
9.072 3.855 0.000
0.000 5.217 1.903
0.659 8.249 1.903
2.185 0.659 1.903
3.032 5.877 1.903
4.558 3.032 1.903
5.217 0.000 1.903
5.877 7.403 1.903
7.403 4.558 1.903
8.249 9.775 1.903
9.775 2.185 1.903
```

Computed properties:
As for the formation energy: -0.101 eV/atom.



VASP calculation (PBE-GGA) on an optimized crystal structure of CeNdNp2Sb4.

POSCAR file:
```
CeNdNp2Sb4
1.0
7.698 0.000 0.000
0.000 4.434 0.000
-2.554 0.000 7.346
Ce Nd Np Sb
1 1 2 4
Cartesian
0.000 0.000 0.000
-1.277 2.217 3.673
2.572 0.000 3.673
3.849 2.217 0.000
1.329 2.217 1.841
0.062 0.000 5.536
5.082 0.000 1.810
3.815 2.217 5.505
```

Computed properties:
Its raw formation energy is -0.6350 eV per atom.



VASP calculation (PBE-GGA) on an optimized crystal structure of Ce2NdNpSb4.

POSCAR file:
```
Ce2NdNpSb4
1.0
7.743 0.000 0.000
0.000 4.484 0.000
-2.595 0.000 7.331
Ce Nd Np Sb
2 1 1 4
Cartesian
0.000 0.000 0.000
-1.298 2.242 3.666
2.574 0.000 3.666
3.872 2.242 0.000
1.293 2.242 1.803
-0.002 0.000 5.531
5.149 0.000 1.800
3.854 2.242 5.528
```

Computed properties:
Its raw formation energy is -0.8640 eV per atom.



VASP calculation (PBE-GGA) on an optimized crystal structure of Ce2Nd2O7.

POSCAR file:
```
Ce2Nd2O7
1.0
7.961 0.000 0.000
0.000 3.809 0.000
0.000 0.000 11.200
Ce Nd O
4 4 14
Cartesian
0.000 0.000 0.000
1.990 1.904 2.788
3.980 0.000 0.000
5.971 1.904 8.413
0.000 0.000 5.600
1.990 1.904 8.653
3.980 0.000 5.600
5.971 1.904 2.548
0.124 1.904 1.331
0.319 1.904 7.039
1.990 0.000 1.502
1.990 0.000 4.279
1.990 0.000 9.900
3.662 1.904 7.039
3.857 1.904 1.331
4.104 1.904 9.869
4.299 1.904 4.161
5.971 0.000 1.301
5.971 0.000 6.921
5.971 0.000 9.699
7.642 1.904 4.161
7.837 1.904 9.869
```

Computed properties:
The value obtained for the polymorph energy (0 for the lowest one) is 29 meV per atom. Its raw formation energy is -3.3392 eV per atom.



VASP calculation (PBE-GGA) on an optimized crystal structure of CeNd3O7.

POSCAR file:
```
CeNd3O7
1.0
3.904 -5.654 0.000
3.904 5.654 0.000
0.000 0.000 7.925
Ce Nd O
2 6 14
Cartesian
0.001 0.000 0.000
7.807 0.000 3.962
1.841 2.614 1.979
1.841 -2.614 5.945
3.898 0.000 3.962
3.910 0.000 0.000
5.967 2.614 1.983
5.967 -2.614 5.942
1.719 1.396 4.211
1.719 1.397 7.673
3.904 4.555 5.944
1.719 -1.397 0.252
1.719 -1.396 3.714
3.904 1.483 1.981
3.904 1.477 5.944
3.904 -1.477 1.981
3.904 -1.483 5.944
6.088 1.397 4.214
6.088 1.396 7.676
3.904 -4.555 1.981
6.088 -1.396 0.249
6.088 -1.397 3.710
```

Computed properties:
Its raw formation energy is -3.1732 eV per atom.



VASP calculation (PBE-GGA) on an optimized crystal structure of CeNdO3.

POSCAR file:
```
CeNdO3
1.0
3.079 -7.031 0.000
3.079 7.031 0.000
0.000 0.000 4.252
Ce Nd O
2 2 6
Cartesian
3.079 4.552 0.000
3.079 -4.552 0.000
3.079 1.627 2.126
3.079 -1.627 2.126
1.539 3.515 2.126
1.489 0.000 2.126
3.079 2.449 0.000
1.539 -3.515 2.126
3.079 -2.449 0.000
4.668 0.000 2.126
```

Computed properties:
Its raw formation energy is -2.7380 eV per atom.



VASP calculation (PBE-GGA) on an optimized crystal structure of CeNd3O4.

POSCAR file:
```
CeNd3O4
1.0
6.172 0.000 0.000
0.000 7.086 0.000
-2.039 0.000 5.829
Ce Nd O
2 6 8
Cartesian
-0.510 0.883 1.457
-1.530 6.203 4.372
-1.530 2.642 4.372
-0.510 4.444 1.457
1.556 0.880 4.372
2.576 2.651 1.457
1.556 4.435 4.372
2.576 6.206 1.457
0.501 2.638 2.894
-0.519 4.448 5.809
1.517 0.874 0.002
0.498 6.212 2.916
3.635 0.874 2.913
2.615 6.212 5.828
4.651 2.638 0.020
3.631 4.448 2.935
```

Computed properties:
Its raw formation energy is -2.7616 eV per atom.



Number 1: calculated total energy -6.228 eV/atom. Number 2: calculated total energy -6.246 eV/atom. Number 3: calculated total energy -9.053 eV/atom. Number 4: calculated total energy -7.736 eV/atom. Number 5: calculated total energy -7.611 eV/atom. Number 6: calculated total energy -8.874 eV/atom. Number 7: calculated total energy -7.269 eV/atom. Number 8: calculated total energy -6.622 eV/atom. Number 9: calculated total energy -8.440 eV/atom. Number 10: calculated total energy -8.168 eV/atom. Number 11: calculated total energy -7.853 eV/atom. Number 12: calculated total energy -7.770 eV/atom.